<A>
VASP calculation (PBE) on Ta4Ge2C after structural relaxation.

Output
density of states at the Fermi level	7.1	states/eV per cell
magnetic moment	0.000	μB/atom
mass density	12.40	g/cm³

a = 4.159 Å, b = 4.159 Å, c = 7.426 Å
α = 73.74°, β = 73.74°, γ = 90.00°
Sites, in units of the cell vectors:
Ge1 0.645 0.645 0.711
Ge2 0.355 0.355 0.289
C1 0.000 0.000 0.000
Ta1 0.838 0.838 0.323
Ta2 0.162 0.162 0.677
Ta3 0.000 0.500 0.000
Ta4 0.500 0.000 0.000

---

<B>
VASP calculation (PBE) on Ta4Ge2C after structural relaxation.

Output
density of states at the Fermi level	5.3	states/eV per cell
magnetic moment	0.000	μB/atom
mass density	13.13	g/cm³

a = 3.247 Å, b = 6.956 Å, c = 9.866 Å
α = 90.00°, β = 90.00°, γ = 90.00°
Sites, in units of the cell vectors:
Ta1 0.000 0.634 0.800
Ta2 0.000 0.366 0.200
Ta3 0.000 0.134 0.700
Ta4 0.000 0.866 0.300
Ta5 0.500 0.814 0.575
Ta6 0.500 0.186 0.425
Ta7 0.500 0.686 0.075
Ta8 0.500 0.314 0.925
Ge1 0.500 0.930 0.860
Ge2 0.500 0.070 0.140
Ge3 0.500 0.430 0.640
Ge4 0.500 0.570 0.360
C1 0.000 0.000 0.500
C2 0.000 0.500 0.000

---

The structure with the greatest stability is <B>.

---

<A>
VASP calculation (PBE) on TaGe3C after structural relaxation.

Output
density of states at the Fermi level	5.4	states/eV per cell
magnetic moment	0.000	μB/atom
mass density	8.75	g/cm³

a = 4.273 Å, b = 4.273 Å, c = 4.273 Å
α = 90.00°, β = 90.00°, γ = 90.00°
Sites, in units of the cell vectors:
Ge1 0.000 0.500 0.000
Ge2 0.000 0.000 0.500
Ge3 0.500 0.000 0.000
C1 0.000 0.000 0.000
Ta1 0.500 0.500 0.500

---

<B>
VASP calculation (PBE) on TaGe3C after structural relaxation.

Output
density of states at the Fermi level	6.5	states/eV per cell
magnetic moment	0.392	μB/atom
mass density	5.39	g/cm³

a = 5.020 Å, b = 5.020 Å, c = 5.020 Å
α = 90.00°, β = 90.00°, γ = 90.00°
Sites, in units of the cell vectors:
Ge1 0.000 0.500 0.000
Ge2 0.000 0.000 0.500
Ge3 0.500 0.000 0.000
C1 0.500 0.500 0.500
Ta1 0.000 0.000 0.000

---

The structure with the greatest stability is <A>.

---

<A>
VASP calculation (PBE) on TaGeC3 after structural relaxation.

Output
density of states at the Fermi level	3.0	states/eV per cell
magnetic moment	0.000	μB/atom
mass density	8.43	g/cm³

a = 3.849 Å, b = 3.849 Å, c = 3.849 Å
α = 90.00°, β = 90.00°, γ = 90.00°
Sites, in units of the cell vectors:
Ge1 0.000 0.000 0.000
C1 0.000 0.500 0.000
C2 0.000 0.000 0.500
C3 0.500 0.000 0.000
Ta1 0.500 0.500 0.500

---

<B>
VASP calculation (PBE) on TaGeC3 after structural relaxation.

Output
density of states at the Fermi level	3.7	states/eV per cell
magnetic moment	0.000	μB/atom
mass density	6.44	g/cm³

a = 4.210 Å, b = 4.210 Å, c = 4.210 Å
α = 90.00°, β = 90.00°, γ = 90.00°
Sites, in units of the cell vectors:
Ge1 0.500 0.500 0.500
C1 0.000 0.500 0.000
C2 0.000 0.000 0.500
C3 0.500 0.000 0.000
Ta1 0.000 0.000 0.000

---

The structure with the greatest stability is <B>.

---

<A>
VASP calculation (PBE) on Tb4Ge2C after structural relaxation.

Output
density of states at the Fermi level	5.9	states/eV per cell
magnetic moment	0.084	μB/atom
mass density	8.33	g/cm³

a = 4.001 Å, b = 8.274 Å, c = 7.260 Å
α = 134.54°, β = 106.00°, γ = 90.00°
Sites, in units of the cell vectors:
Tb1 0.920 0.185 0.841
Tb2 0.080 0.815 0.159
Tb3 0.662 0.250 0.323
Tb4 0.338 0.750 0.677
Ge1 0.624 0.591 0.247
Ge2 0.376 0.409 0.753
C1 0.000 0.000 0.000

---

<B>
VASP calculation (PBE) on Tb4Ge2C after structural relaxation.

Output
density of states at the Fermi level	0.9	states/eV per cell
magnetic moment	0.000	μB/atom
mass density	7.72	g/cm³

a = 4.724 Å, b = 4.724 Å, c = 8.341 Å
α = 106.45°, β = 106.45°, γ = 90.00°
Sites, in units of the cell vectors:
Ge1 0.637 0.637 0.273
Ge2 0.363 0.363 0.727
Tb1 0.832 0.832 0.664
Tb2 0.168 0.168 0.336
Tb3 0.000 0.500 0.000
Tb4 0.500 0.000 0.000
C1 0.000 0.000 0.000

---

The structure with the greatest stability is <B>.

---

<A>
VASP calculation (PBE) on Tc3GeC after structural relaxation.

Output
density of states at the Fermi level	5.3	states/eV per cell
magnetic moment	0.000	μB/atom
mass density	9.12	g/cm³

a = 3.347 Å, b = 6.452 Å, c = 6.578 Å
α = 103.79°, β = 90.00°, γ = 90.00°
Sites, in units of the cell vectors:
Tc1 0.750 0.635 0.368
Tc2 0.250 0.365 0.632
Tc3 0.750 0.320 0.966
Tc4 0.250 0.967 0.664
Tc5 0.250 0.680 0.034
Tc6 0.750 0.033 0.336
Ge1 0.250 0.306 0.238
Ge2 0.750 0.694 0.762
C1 0.250 0.825 0.353
C2 0.750 0.175 0.647

---

<B>
VASP calculation (PBE) on Tc3GeC after structural relaxation.

Output
density of states at the Fermi level	3.0	states/eV per cell
magnetic moment	0.376	μB/atom
mass density	9.28	g/cm³

a = 4.077 Å, b = 4.077 Å, c = 4.077 Å
α = 90.00°, β = 90.00°, γ = 90.00°
Sites, in units of the cell vectors:
C1 0.000 0.000 0.000
Ge1 0.500 0.500 0.500
Tc1 0.000 0.500 0.000
Tc2 0.000 0.000 0.500
Tc3 0.500 0.000 0.000

---

The structure with the greatest stability is <A>.

---

<A>
VASP calculation (PBE) on Y2TcGeC after structural relaxation.

Output
density of states at the Fermi level	4.1	states/eV per cell
magnetic moment	0.000	μB/atom
mass density	6.24	g/cm³

a = 4.898 Å, b = 4.898 Å, c = 3.998 Å
α = 90.00°, β = 90.00°, γ = 90.00°
Sites, in units of the cell vectors:
Y1 0.000 0.500 0.000
Y2 0.500 0.000 0.000
C1 0.000 0.000 0.000
Ge1 0.500 0.500 0.500
Tc1 0.000 0.000 0.500

---

<B>
VASP calculation (PBE) on Y2TcGeC after structural relaxation.

Output
density of states at the Fermi level	5.2	states/eV per cell
magnetic moment	0.339	μB/atom
mass density	5.36	g/cm³

a = 5.501 Å, b = 3.691 Å, c = 5.501 Å
α = 90.00°, β = 90.00°, γ = 90.00°
Sites, in units of the cell vectors:
Y1 0.000 0.000 0.500
Y2 0.500 0.000 0.000
C1 0.000 0.500 0.000
Ge1 0.000 0.000 0.000
Tc1 0.500 0.500 0.500

---

The structure with the greatest stability is <A>.

---

<A>
VASP calculation (PBE) on GeTe3C after structural relaxation.

Output
density of states at the Fermi level	3.4	states/eV per cell
magnetic moment	0.000	μB/atom
mass density	6.92	g/cm³

a = 4.822 Å, b = 4.822 Å, c = 4.822 Å
α = 90.00°, β = 90.00°, γ = 90.00°
Sites, in units of the cell vectors:
Ge1 0.500 0.500 0.500
Te1 0.000 0.500 0.000
Te2 0.000 0.000 0.500
Te3 0.500 0.000 0.000
C1 0.000 0.000 0.000

---

<B>
VASP calculation (PBE) on GeTe3C after structural relaxation.

Output
density of states at the Fermi level	6.8	states/eV per cell
magnetic moment	0.219	μB/atom
mass density	4.93	g/cm³

a = 5.398 Å, b = 5.398 Å, c = 5.398 Å
α = 90.00°, β = 90.00°, γ = 90.00°
Sites, in units of the cell vectors:
Ge1 0.000 0.000 0.000
Te1 0.000 0.500 0.000
Te2 0.000 0.000 0.500
Te3 0.500 0.000 0.000
C1 0.500 0.500 0.500

---

The structure with the greatest stability is <A>.

---

<A>
VASP calculation (PBE) on Ti6GeC4 after structural relaxation.

Output
density of states at the Fermi level	7.4	states/eV per cell
magnetic moment	0.000	μB/atom
mass density	5.12	g/cm³

a = 3.134 Å, b = 5.408 Å, c = 16.299 Å
α = 90.00°, β = 90.00°, γ = 106.84°
Sites, in units of the cell vectors:
Ti1 0.500 0.000 0.000
Ti2 0.500 0.000 0.500
Ti3 0.036 0.071 0.352
Ti4 0.964 0.929 0.648
Ti5 0.964 0.929 0.852
Ti6 0.036 0.071 0.148
Ti7 0.774 0.549 0.423
Ti8 0.226 0.451 0.577
Ti9 0.226 0.451 0.923
Ti10 0.774 0.549 0.077
Ti11 0.358 0.717 0.250
Ti12 0.642 0.283 0.750
Ge1 0.661 0.321 0.250
Ge2 0.339 0.679 0.750
C1 0.861 0.723 0.540
C2 0.408 0.816 0.122
C3 0.139 0.277 0.460
C4 0.592 0.184 0.878
C5 0.861 0.723 0.960
C6 0.139 0.277 0.040
C7 0.592 0.184 0.622
C8 0.408 0.816 0.378

---

<B>
VASP calculation (PBE) on Ti6GeC4 after structural relaxation.

Output
density of states at the Fermi level	9.9	states/eV per cell
magnetic moment	0.001	μB/atom
mass density	4.94	g/cm³

a = 5.705 Å, b = 5.705 Å, c = 5.705 Å
α = 95.83°, β = 116.69°, γ = 116.69°
Sites, in units of the cell vectors:
Ti1 0.000 0.844 0.538
Ti2 0.000 0.538 0.844
Ti3 0.695 0.156 0.156
Ti4 0.500 0.000 0.500
Ti5 0.305 0.462 0.462
Ti6 0.500 0.500 0.000
Ge1 0.000 0.000 0.000
C1 0.000 0.205 0.631
C2 0.574 0.369 0.369
C3 0.000 0.631 0.205
C4 0.426 0.795 0.795

---

The structure with the greatest stability is <A>.